(1)
Compound: La2ScTaSn
Source: Alexandria
Functional: PBE
Structure: optimized geometry

Output
**Energy of formation**: 0.958 eV/atom
**Density of states at the Fermi level**: 6.9 states/eV/f.u.

Lattice parameters (Å, degrees): 5.9844 5.2643 5.9844 90.00 90.00 90.00
With the nearest neighbours (Å) after each atom.
Atoms (fractional coordinates):
1 La 0.0000 0.0000 0.5000  2 Sn 2.99
2 Sc 0.0000 0.5000 0.0000  2 Sn 2.63
3 Sn 0.0000 0.0000 0.0000  2 Sc 2.63
4 Ta 0.5000 0.5000 0.5000  8 La 3.99, 4 Sc 4.23
5 La 0.5000 0.0000 0.0000  2 Sn 2.99

(2)
Compound: InTcNi2
Source: Alexandria
Functional: PBE
Structure: optimized geometry

Output
**Energy of formation**: 0.191 eV/atom
**Density of states at the Fermi level**: 3.6 states/eV/f.u.

Lattice parameters (Å, degrees): 4.4880 4.4880 4.9707 82.03 82.03 35.94
With the nearest neighbours (Å) after each atom.
Atoms (fractional coordinates):
1 Ni 0.4968 0.4968 0.5375  4 Ni 2.53-2.77, 3 Tc 2.54-2.61, 3 In 2.71-2.78
2 In 0.2500 0.2500 0.2500  6 Ni 2.71-2.78, 2 In 2.77, 4 Tc 2.85
3 Tc 0.7500 0.7500 0.7500  6 Ni 2.54-2.61, 2 Tc 2.77, 4 In 2.85
4 Ni 0.0032 0.0032 0.9625  4 Ni 2.53-2.77, 3 Tc 2.54-2.61, 3 In 2.71-2.78

(3)
Compound: KZnRu2O8
Source: Alexandria
Functional: PBE
Structure: optimized geometry

Output
**ΔE_f (raw)**: -984 meV/atom
**Density of states at the Fermi level**: 7.8 states/eV/f.u.

Lattice parameters (Å, degrees): 5.2967 5.2967 7.9653 85.99 85.99 67.00
With the nearest neighbours (Å) after each atom.
Atoms (fractional coordinates):
1 O 0.7663 0.7663 0.0410  1 Ru 1.77
2 Ru 0.6234 0.6234 0.2113  4 O 1.75-1.79
3 O 0.7663 0.2594 0.1915  1 Ru 1.79
4 O 0.6948 0.6948 0.4098  1 Ru 1.75
5 O 0.3052 0.3052 0.5902  1 Ru 1.75
6 Ru 0.3766 0.3766 0.7887  4 O 1.75-1.79
7 Zn 0.0000 0.0000 0.0000  6 O 2.06-2.11
8 K 0.0000 0.0000 0.5000  6 O 2.84-2.85
9 O 0.2337 0.2337 0.9590  1 Ru 1.77
10 O 0.2594 0.7663 0.1915  1 Ru 1.79
11 O 0.2337 0.7406 0.8085  1 Ru 1.79
12 O 0.7406 0.2337 0.8085  1 Ru 1.79

Which of these has the highest density of states at the Fermi level?
KZnRu2O8

Which formula does entry 3 have?
KZnRu2O8